## Tb2SmDy4 (PBE-GGA)

Data for an optimized crystal structure of Tb2SmDy4.

Computed properties:
V, Å³ per cell: 448
Calculated total energy, eV per atom: -4.497
Calculated formation energy, eV per atom: 0.130
Density, g cm⁻³: 8.3
Excess energy over the best structure of this formula in the dataset, meV/atom: 92.9

Geometry as POSCAR:
```
Tb2SmDy4
1.0
6.0582 0.0000 0.0000
0.0000 6.5920 0.0000
-2.8343 0.0000 11.2213
Tb Sm Dy
4 2 8
Direct
0.1004 0.2500 0.4925
0.3427 0.7500 0.0524
0.6573 0.2500 0.9476
0.8996 0.7500 0.5075
0.4672 0.7500 0.6397
0.5328 0.2500 0.3603
0.1527 0.0074 0.7894
0.1527 0.4926 0.7894
0.2191 0.2500 0.0755
0.3536 0.7500 0.3382
0.6464 0.2500 0.6618
0.7809 0.7500 0.9245
0.8473 0.5074 0.2106
0.8473 0.9926 0.2106
```